(1)
PBE-GGA La3Sm, relaxed; total magnetization = 0.00 Bohr magnetons per cell; calculated total energy = -19.48 eV for the cell shown; space group = Pm-3m; calculated density = 6.6 Mg/m³; calculated volume = 142.9 Å³/cell; energy relative to the elements = 6 meV per atom
1.0
5.229 0.000 0.000
0.000 5.229 0.000
0.000 0.000 5.229
La Sm
3 1
Direct
0.000 0.000 0.500
0.000 0.500 0.000
0.500 0.000 0.000
0.500 0.500 0.500

(2)
PBE-GGA Pu3TiIn12, relaxed; total magnetization = 0.33 Bohr magnetons per cell; calculated total energy = -79.63 eV for the cell shown; space group = P4/mmm; calculated density = 9.4 Mg/m³; calculated volume = 381.8 Å³/cell; energy relative to the elements = 258 meV per atom
1.0
4.567 0.000 0.000
0.000 4.567 0.000
0.000 0.000 18.300
Pu Ti In
3 1 12
Direct
0.000 0.000 0.000
0.000 0.000 0.257
0.000 0.000 0.743
0.000 0.000 0.500
0.000 0.500 0.128
0.000 0.500 0.382
0.000 0.500 0.618
0.000 0.500 0.872
0.500 0.000 0.128
0.500 0.000 0.382
0.500 0.000 0.618
0.500 0.000 0.872
0.500 0.500 0.000
0.500 0.500 0.253
0.500 0.500 0.500
0.500 0.500 0.747

(3)
PBE-GGA Hf4PC2, relaxed; total magnetization = 0.00 Bohr magnetons per cell; calculated total energy = -140.98 eV for the cell shown; space group = Cmcm; calculated density = 12.0 Mg/m³; calculated volume = 213.0 Å³/cell; energy relative to the elements = -974 meV per atom
1.0
1.695 -5.486 0.000
1.695 5.486 0.000
0.000 0.000 11.452
Hf P C
8 2 4
Direct
0.000 0.000 0.000
0.000 0.000 0.500
0.266 0.734 0.610
0.266 0.734 0.890
0.432 0.568 0.250
0.568 0.432 0.750
0.734 0.266 0.110
0.734 0.266 0.390
0.108 0.892 0.250
0.892 0.108 0.750
0.364 0.636 0.063
0.364 0.636 0.437
0.636 0.364 0.563
0.636 0.364 0.937